## TlPt2Cl (PBE)

Data for a geometry-optimized TlPt2Cl structure.

abc: 3.483 3.483 7.946
angles: 90.00 90.00 90.00
Space group P4mm (No. 99)
Unique sites:
Tl1 0.000 0.000 0.000
Pt1 0.000 0.000 0.585
Pt2 0.500 0.500 0.681
Cl1 0.500 0.500 0.212

Properties
Raw formation energy = 0.108 eV/atom